Tb2MgCu | GGA-PBE | relaxed

Lattice parameters (Å, degrees): 11.076 11.076 11.076 17.54 17.54 17.54
Element x y z (fractional)
Tb  0.101  0.101  0.101
Tb  0.899  0.899  0.899
Mg  0.000  0.000  0.000
Cu  0.500  0.500  0.500

excess energy over the best structure of this formula in the dataset = 374.9 meV per atom
DOS(E_F) = 3.4 states/eV/f.u.
crystal system = trigonal
ΔE_f = 0.235 eV per atom

Tb2Mg2Cu15 | GGA-PBE | relaxed

Lattice parameters (Å, degrees): 6.565 6.565 6.565 82.46 82.46 82.46
Element x y z (fractional)
Tb  0.147  0.147  0.147
Tb  0.853  0.853  0.853
Mg  0.395  0.395  0.395
Mg  0.605  0.605  0.605
Cu  0.000  0.500  0.500
Cu  0.151  0.151  0.658
Cu  0.151  0.658  0.151
Cu  0.199  0.500  0.801
Cu  0.199  0.801  0.500
Cu  0.342  0.849  0.849
Cu  0.500  0.000  0.500
Cu  0.500  0.199  0.801
Cu  0.500  0.500  0.000
Cu  0.500  0.801  0.199
Cu  0.658  0.151  0.151
Cu  0.801  0.199  0.500
Cu  0.801  0.500  0.199
Cu  0.849  0.342  0.849
Cu  0.849  0.849  0.342

DOS(E_F) = 7.9 states/eV/f.u.
crystal system = trigonal
ΔE_f = -0.142 eV per atom

TbMg3Cu2 | GGA-PBE | relaxed

Lattice parameters (Å, degrees): 7.718 7.718 10.657 121.91 121.91 28.41
Element x y z (fractional)
Tb  0.142  0.142  0.228
Tb  0.858  0.858  0.772
Mg  0.146  0.146  0.733
Mg  0.424  0.424  0.081
Mg  0.426  0.426  0.562
Mg  0.574  0.574  0.438
Mg  0.576  0.576  0.919
Mg  0.854  0.854  0.267
Cu  0.226  0.226  0.551
Cu  0.227  0.227  0.046
Cu  0.773  0.773  0.954
Cu  0.774  0.774  0.449

DOS(E_F) = 3.1 states/eV/f.u.
crystal system = monoclinic
ΔE_f = -0.094 eV per atom

Tb3MgCu2 | GGA-PBE | relaxed

Lattice parameters (Å, degrees): 3.501 3.501 11.459 90.00 90.00 90.00
Element x y z (fractional)
Tb  0.000  0.000  0.000
Tb  0.000  0.000  0.299
Tb  0.000  0.000  0.701
Mg  0.500  0.500  0.500
Cu  0.500  0.500  0.156
Cu  0.500  0.500  0.844

DOS(E_F) = 6.1 states/eV/f.u.
crystal system = tetragonal
ΔE_f = -0.174 eV per atom

Which of these has the highest ΔE_f?
Tb2MgCu

ΔE_f of number 1 (Tb2MgCu)?
0.235 eV per atom

Copy entry 3 word for word.
TbMg3Cu2 | GGA-PBE | relaxed

Lattice parameters (Å, degrees): 7.718 7.718 10.657 121.91 121.91 28.41
Element x y z (fractional)
Tb  0.142  0.142  0.228
Tb  0.858  0.858  0.772
Mg  0.146  0.146  0.733
Mg  0.424  0.424  0.081
Mg  0.426  0.426  0.562
Mg  0.574  0.574  0.438
Mg  0.576  0.576  0.919
Mg  0.854  0.854  0.267
Cu  0.226  0.226  0.551
Cu  0.227  0.227  0.046
Cu  0.773  0.773  0.954
Cu  0.774  0.774  0.449

DOS(E_F) = 3.1 states/eV/f.u.
crystal system = monoclinic
ΔE_f = -0.094 eV per atom

Which of these has the highest DOS(E_F)?
Tb2Mg2Cu15